The following is a DFT calculation (PBE-GGA) of a relaxed structure of BaMnTl2As.

Properties
D(E_F) = 4.25 states/eV per cell
size of the total moment = 3.71 μB per formula unit
space group = P4/mmm
energy of formation = 253 meV/atom
calculated volume = 31.966 A^3/atom

Geometry as POSCAR:
```
BaMnTl2As
1.0
5.170 0.000 0.000
0.000 5.170 0.000
0.000 0.000 5.980
Ba Mn Tl As
1 1 2 1
direct
0.000 0.000 0.000
0.000 0.000 0.500
0.000 0.500 0.500
0.500 0.000 0.500
0.500 0.500 0.000
```